No. 1
A plane-wave DFT calculation with PBE-GGA was carried out for a relaxed KNaCeS3 crystal.

Unit cell a=7.633 b=4.168 c=9.922 alpha=90.00 beta=92.73 gamma=90.00
Fractional coordinates of all 12 atoms:
K: 0.079 0.250 0.166
K: 0.921 0.750 0.834
Na: 0.237 0.750 0.498
Na: 0.763 0.250 0.502
Ce: 0.415 0.250 0.815
Ce: 0.585 0.750 0.185
S: 0.122 0.250 0.669
S: 0.304 0.750 0.984
S: 0.442 0.250 0.320
S: 0.558 0.750 0.680
S: 0.696 0.250 0.016
S: 0.878 0.750 0.331

Values from the calculation:
**Energy relative to the elements, uncorrected**: -1537 meV/atom



No. 2
A plane-wave DFT calculation with PBE-GGA was carried out for a relaxed K3NaCe3S8 crystal.

Unit cell a=8.722 b=8.722 c=8.722 alpha=56.50 beta=56.50 gamma=56.50
Fractional coordinates of all 15 atoms:
K: 0.000 0.500 0.500
K: 0.500 0.000 0.500
K: 0.500 0.500 0.000
Na: 0.500 0.500 0.500
Ce: 0.000 0.000 0.500
Ce: 0.000 0.500 0.000
Ce: 0.500 0.000 0.000
S: 0.209 0.743 0.743
S: 0.235 0.235 0.235
S: 0.257 0.257 0.791
S: 0.257 0.791 0.257
S: 0.743 0.209 0.743
S: 0.743 0.743 0.209
S: 0.765 0.765 0.765
S: 0.791 0.257 0.257

Values from the calculation:
**Energy relative to the elements, uncorrected**: -1592 meV/atom



No. 3
A plane-wave DFT calculation with PBE-GGA was carried out for a relaxed KNaCe4S8 crystal.

Unit cell a=8.360 b=8.360 c=8.360 alpha=60.65 beta=60.65 gamma=60.65
Fractional coordinates of all 14 atoms:
K: 0.000 0.000 0.000
Na: 0.375 0.375 0.375
Ce: 0.375 0.375 0.887
Ce: 0.375 0.887 0.375
Ce: 0.762 0.762 0.762
Ce: 0.887 0.375 0.375
S: 0.134 0.134 0.573
S: 0.134 0.573 0.134
S: 0.145 0.145 0.145
S: 0.156 0.625 0.625
S: 0.573 0.134 0.134
S: 0.622 0.622 0.622
S: 0.625 0.156 0.625
S: 0.625 0.625 0.156

Values from the calculation:
**Energy relative to the elements, uncorrected**: -1673 meV/atom
**Fermi-level density of states**: 1.33 states/eV/atom



No. 4
A plane-wave DFT calculation with PBE-GGA was carried out for a relaxed K3NaCe2Se6 crystal.

Unit cell a=7.508 b=7.508 c=8.003 alpha=99.00 beta=99.00 gamma=120.00
Fractional coordinates of all 12 atoms:
K: 0.000 0.000 0.000
K: 0.341 0.659 0.000
K: 0.659 0.341 0.000
Na: 0.500 0.500 0.500
Ce: 0.167 0.833 0.500
Ce: 0.833 0.167 0.500
Se: 0.074 0.431 0.293
Se: 0.213 0.213 0.705
Se: 0.431 0.074 0.293
Se: 0.569 0.926 0.707
Se: 0.787 0.787 0.295
Se: 0.926 0.569 0.707

Values from the calculation:
**Energy relative to the elements, uncorrected**: -1511 meV/atom